a:
# LuNbSiNi

A relaxed LuNbSiNi crystal (PBE-GGA, OQMD via LeMat-Bulk).

For the total moment, the calculation gives 12.0 μB/cell.

Cell and atoms, written as CIF:
```
data_LuNbSiNi
_symmetry_space_group_name_H-M 'F -4 3 m'
_symmetry_Int_Tables_number 216
_symmetry_space_group_name_Hall 'F -4 2 3'
_cell_length_a 6.5020
_cell_length_b 6.5020
_cell_length_c 6.5020
_cell_angle_alpha 90.00
_cell_angle_beta 90.00
_cell_angle_gamma 90.00
loop_
_atom_site_label
_atom_site_fract_x
_atom_site_fract_y
_atom_site_fract_z
_atom_site_occupancy
Lu1 0.0000 0.0000 0.0000 1
Nb1 0.2500 0.2500 0.7500 1
Si1 0.2500 0.2500 0.2500 1
Ni1 0.0000 0.0000 0.5000 1
```



b:
# LuNbSiNi

A relaxed LuNbSiNi crystal (PBE-GGA, OQMD via LeMat-Bulk).

For the total moment, the calculation gives 1.8 μB/cell.

Cell and atoms, written as CIF:
```
data_LuNbSiNi
_symmetry_space_group_name_H-M 'F -4 3 m'
_symmetry_Int_Tables_number 216
_symmetry_space_group_name_Hall 'F -4 2 3'
_cell_length_a 6.3608
_cell_length_b 6.3608
_cell_length_c 6.3608
_cell_angle_alpha 90.00
_cell_angle_beta 90.00
_cell_angle_gamma 90.00
loop_
_atom_site_label
_atom_site_fract_x
_atom_site_fract_y
_atom_site_fract_z
_atom_site_occupancy
Lu1 0.0000 0.0000 0.0000 1
Nb1 0.2500 0.2500 0.2500 1
Si1 0.0000 0.0000 0.5000 1
Ni1 0.2500 0.2500 0.7500 1
```



It is b that is most stable; the runner-up trails by 277 meV per atom.



a:
# Lu2Nb2O5

A relaxed Lu2Nb2O5 crystal (PBE-GGA, OQMD via LeMat-Bulk).

For the total moment, the calculation gives 0.0 μB/cell.

Cell and atoms, written as CIF:
```
data_Lu2Nb2O5
_symmetry_space_group_name_H-M 'P 4/m m m'
_symmetry_Int_Tables_number 123
_symmetry_space_group_name_Hall '-P 4 2'
_cell_length_a 3.4859
_cell_length_b 3.4859
_cell_length_c 9.5743
_cell_angle_alpha 90.00
_cell_angle_beta 90.00
_cell_angle_gamma 90.00
loop_
_atom_site_label
_atom_site_fract_x
_atom_site_fract_y
_atom_site_fract_z
_atom_site_occupancy
Lu1 0.0000 0.0000 0.2375 1
Nb1 0.5000 0.5000 0.0000 1
Nb2 0.5000 0.5000 0.5000 1
O1 0.0000 0.0000 0.0000 1
O2 0.0000 0.5000 0.3720 1
```



b:
# Lu2Nb2O5

A relaxed Lu2Nb2O5 crystal (PBE-GGA, OQMD via LeMat-Bulk).

For the total moment, the calculation gives 0.0 μB/cell.

Cell and atoms, written as CIF:
```
data_Lu2Nb2O5
_symmetry_space_group_name_H-M 'P 4/m m m'
_symmetry_Int_Tables_number 123
_symmetry_space_group_name_Hall '-P 4 2'
_cell_length_a 4.0023
_cell_length_b 4.0023
_cell_length_c 6.9449
_cell_angle_alpha 90.00
_cell_angle_beta 90.00
_cell_angle_gamma 90.00
loop_
_atom_site_label
_atom_site_fract_x
_atom_site_fract_y
_atom_site_fract_z
_atom_site_occupancy
Lu1 0.0000 0.0000 0.0000 1
Lu2 0.0000 0.0000 0.5000 1
Nb1 0.5000 0.5000 0.1919 1
O1 0.0000 0.5000 0.2555 1
O2 0.5000 0.5000 0.5000 1
```



It is a that is most stable; the runner-up trails by 35 meV per atom.



a:
# LuNbPO

A relaxed LuNbPO crystal (PBE-GGA, OQMD via LeMat-Bulk).

For the total moment, the calculation gives 0.0 μB/cell.

Cell and atoms, written as CIF:
```
data_LuNbPO
_symmetry_space_group_name_H-M 'P m c 21'
_symmetry_Int_Tables_number 26
_symmetry_space_group_name_Hall 'P 2c -2'
_cell_length_a 4.1560
_cell_length_b 4.7774
_cell_length_c 6.3417
_cell_angle_alpha 90.00
_cell_angle_beta 90.00
_cell_angle_gamma 90.00
loop_
_atom_site_label
_atom_site_fract_x
_atom_site_fract_y
_atom_site_fract_z
_atom_site_occupancy
Lu1 0.0000 0.1732 0.0000 1
Nb1 0.5000 0.3743 0.3476 1
P1 0.5000 0.1297 0.7005 1
O1 0.0000 0.3828 0.3388 1
```



b:
# LuNbPO

A relaxed LuNbPO crystal (PBE-GGA, OQMD via LeMat-Bulk).

For the total moment, the calculation gives 0.1 μB/cell.

Cell and atoms, written as CIF:
```
data_LuNbPO
_symmetry_space_group_name_H-M 'P 4/n m m'
_symmetry_Int_Tables_number 129
_cell_length_a 4.1840
_cell_length_b 4.1840
_cell_length_c 7.2341
_cell_angle_alpha 90.00
_cell_angle_beta 90.00
_cell_angle_gamma 90.00
loop_
_symmetry_equiv_pos_as_xyz
'x,y,z'
'-x,-y,-z'
'-y+1/2,x,z'
'y+1/2,-x,-z'
'-x+1/2,-y+1/2,z'
'x+1/2,y+1/2,-z'
'y,-x+1/2,z'
'-y,x+1/2,-z'
'x+1/2,-y,-z'
'-x+1/2,y,z'
'-y,-x,-z'
'y,x,z'
'-x,y+1/2,-z'
'x,-y+1/2,z'
'y+1/2,x+1/2,-z'
'-y+1/2,-x+1/2,z'
loop_
_atom_site_label
_atom_site_fract_x
_atom_site_fract_y
_atom_site_fract_z
_atom_site_occupancy
Lu1 0.2500 0.7500 0.0000 1
Nb1 0.2500 0.2500 0.3981 1
P1 0.2500 0.2500 0.7647 1
O1 0.2500 0.7500 0.5000 1
```



It is a that is most stable; the runner-up trails by 867 meV per atom.